Computed, not measured: a relaxed Ac4Ni3O10 crystal at the GGA+U level of DFT.

Output
Crystal system: tetragonal
Total DFT energy (no corrections): -6.707 eV per atom

abc: 3.944 3.944 14.726
angles: 97.70 97.70 90.00
Site moments in Bohr magnetons follow the coordinates.
Atoms (fractional coordinates):
Ac  0.567  0.567  0.133  0.00
Ac  0.433  0.433  0.867  0.00
Ac  0.302  0.302  0.605  0.00
Ac  0.698  0.698  0.395  0.00
Ni  0.138  0.138  0.276  1.57
Ni  0.862  0.862  0.724  1.57
Ni  0.000  0.000  0.000  1.41
O  0.138  0.638  0.277  -0.05
O  0.068  0.068  0.136  -0.08
O  0.638  0.138  0.277  -0.05
O  0.862  0.362  0.723  -0.05
O  0.362  0.862  0.723  -0.05
O  0.932  0.932  0.864  -0.08
O  0.215  0.215  0.430  0.02
O  0.785  0.785  0.570  0.02
O  0.000  0.500  0.000  -0.08
O  0.500  0.000  0.000  -0.08